No. 1
The following is a GGA-PBE calculation of an optimized crystal structure of RbNa2NbNi, from Alexandria.

The structure belongs to space group P4/mmm (No. 123); the cell edges are 6.134, 6.134 and 4.620 Å and the angles 90.00°, 90.00° and 90.00°. The distinct sites, in fractional coordinates, are Rb at (0.000, 0.000, 0.000), Na at (0.000, 0.500, 0.500), Nb at (0.500, 0.500, 0.500) and Ni at (0.500, 0.500, 0.000).

The formation energy is 0.963 eV per atom. The calculation puts the total magnetic moment at 2.59 μB per cell. The calculation puts the volume at 34.77 A^3/atom.

---

No. 2
The following is a GGA-PBE calculation of an optimized crystal structure of Na3Nb3NiS8, from Alexandria.

The structure belongs to space group R-3m (No. 166, hexagonal axes); the cell edges are 6.9863, 6.9863 and 20.9004 Å and the angles 90.00°, 90.00° and 120.00°. The distinct sites, in fractional coordinates, are Na at (0.0000, 0.5000, 0.0000), Nb at (0.0000, 0.5000, 0.5000), Ni at (0.0000, 0.0000, 0.5000), S at (0.0000, 0.0000, 0.2400) and S at (0.0085, 0.5043, 0.2353).

As for the raw formation energy: -0.927 eV per atom. The calculation puts the total magnetic moment at 4.54 μB per cell. The calculation puts the volume at 19.63 A^3/atom.

---

No. 3
The following is a GGA-PBE calculation of an optimized crystal structure of Na3NbNi2Se6, from Alexandria.

The structure belongs to space group C2/m (No. 12); the cell edges are 6.538, 11.304 and 7.179 Å and the angles 90.00°, 107.66° and 90.00°. The distinct sites, in fractional coordinates, are Na at (0.000, 0.000, 0.000), Na at (0.000, 0.337, 0.000), Nb at (0.000, 0.500, 0.500), Ni at (0.000, 0.167, 0.500), Se at (0.220, 0.000, 0.697) and Se at (0.239, 0.327, 0.699).

As for the raw formation energy: -0.608 eV per atom. The calculation puts the total magnetic moment at 6.74 μB per cell. The calculation puts the volume at 21.06 A^3/atom.

---

No. 4
The following is a GGA-PBE calculation of an optimized crystal structure of NaNb2NiSe, from Alexandria.

The structure belongs to space group P4/mmm (No. 123); the cell edges are 4.747, 4.747 and 4.605 Å and the angles 90.00°, 90.00° and 90.00°. The distinct sites, in fractional coordinates, are Na at (0.000, 0.000, 0.000), Nb at (0.000, 0.500, 0.000), Ni at (0.500, 0.500, 0.500) and Se at (0.000, 0.000, 0.500).

As for the raw formation energy: 2.047 eV per atom. The calculation puts the total magnetic moment at 1.13 μB per cell. The calculation puts the volume at 20.75 A^3/atom.

---

No. 5
The following is a GGA-PBE calculation of an optimized crystal structure of NaNbNiSe3, from Alexandria.

The structure belongs to space group P2_1/m (No. 11); the cell edges are 7.901, 3.639 and 9.513 Å and the angles 90.00°, 111.18° and 90.00°. The distinct sites, in fractional coordinates, are Na at (0.239, 0.250, 0.220), Nb at (0.209, 0.750, 0.683), Ni at (0.411, 0.250, 0.895), Se at (0.060, 0.750, 0.371), Se at (0.257, 0.750, 0.961) and Se at (0.426, 0.250, 0.650).

As for the raw formation energy: -0.808 eV per atom. The calculation puts the total magnetic moment at 0.00 μB per cell. The calculation puts the volume at 21.25 A^3/atom.

---

No. 6
The following is a GGA-PBE calculation of an optimized crystal structure of Na2NbSiNi, from Alexandria.

The structure belongs to space group P4/mmm (No. 123); the cell edges are 5.096, 5.096 and 4.916 Å and the angles 90.00°, 90.00° and 90.00°. The distinct sites, in fractional coordinates, are Na at (0.000, 0.500, 0.000), Nb at (0.000, 0.000, 0.500), Si at (0.000, 0.000, 0.000) and Ni at (0.500, 0.500, 0.500).

As for the raw formation energy: 1.133 eV per atom. The calculation puts the total magnetic moment at 0.80 μB per cell. The calculation puts the volume at 25.54 A^3/atom.

---

No. 7
The following is a GGA-PBE calculation of an optimized crystal structure of NaNbNiTe3, from Alexandria.

The structure belongs to space group P2_1/m (No. 11); the cell edges are 8.644, 3.745 and 10.380 Å and the angles 90.00°, 113.56° and 90.00°. The distinct sites, in fractional coordinates, are Na at (0.208, 0.250, 0.207), Nb at (0.217, 0.750, 0.688), Ni at (0.417, 0.250, 0.899), Te at (0.062, 0.750, 0.380), Te at (0.256, 0.750, 0.961) and Te at (0.440, 0.250, 0.662).

As for the raw formation energy: -0.512 eV per atom. The calculation puts the total magnetic moment at 0.00 μB per cell. The calculation puts the volume at 25.67 A^3/atom.

---

No. 8
The following is a GGA-PBE calculation of an optimized crystal structure of NaNb2VNi, from Alexandria.

The structure belongs to space group P4/mmm (No. 123); the cell edges are 4.746, 4.746 and 4.442 Å and the angles 90.00°, 90.00° and 90.00°. The distinct sites, in fractional coordinates, are Na at (0.000, 0.000, 0.000), Nb at (0.000, 0.500, 0.500), V at (0.500, 0.500, 0.000) and Ni at (0.500, 0.500, 0.500).

The formation energy is 1.074 eV per atom. The calculation puts the total magnetic moment at 0.00 μB per cell. The calculation puts the volume at 20.01 A^3/atom.

---

No. 9
The following is a GGA-PBE calculation of an optimized crystal structure of NaNb2ZnNi, from Alexandria.

The structure belongs to space group P4/mmm (No. 123); the cell edges are 4.640, 4.640 and 4.816 Å and the angles 90.00°, 90.00° and 90.00°. The distinct sites, in fractional coordinates, are Na at (0.000, 0.000, 0.000), Nb at (0.000, 0.500, 0.500), Zn at (0.500, 0.500, 0.000) and Ni at (0.000, 0.000, 0.500).

The formation energy is 0.960 eV per atom. The calculation puts the total magnetic moment at 0.00 μB per cell. The calculation puts the volume at 20.73 A^3/atom.

---

No. 10
The following is a GGA-PBE calculation of an optimized crystal structure of NaNbZnNi2, from Alexandria.

The structure belongs to space group P4/mmm (No. 123); the cell edges are 4.621, 4.621 and 5.182 Å and the angles 90.00°, 90.00° and 90.00°. The distinct sites, in fractional coordinates, are Na at (0.000, 0.000, 0.000), Nb at (0.500, 0.500, 0.500), Zn at (0.500, 0.500, 0.000) and Ni at (0.000, 0.500, 0.500).

The formation energy is 0.897 eV per atom. The calculation puts the total magnetic moment at 0.00 μB per cell. The calculation puts the volume at 22.13 A^3/atom.

---

No. 11
The following is a GGA-PBE calculation of an optimized crystal structure of Na2NpNbO6, from Alexandria.

The structure belongs to space group P4mm (No. 99); the cell edges are 5.813, 5.813 and 4.241 Å and the angles 90.00°, 90.00° and 90.00°. The distinct sites, in fractional coordinates, are Na at (0.000, 0.500, 0.000), Np at (0.000, 0.000, 0.600), Nb at (0.500, 0.500, 0.548), O at (0.000, 0.000, 0.102), O at (0.258, 0.258, 0.625) and O at (0.500, 0.500, 0.114).

As for the raw formation energy: -2.486 eV per atom. The calculation puts the total magnetic moment at 2.00 μB per cell. The calculation puts the volume at 14.33 A^3/atom.

---

No. 12
The following is a GGA-PBE calculation of an optimized crystal structure of NaNpNbO6, from Alexandria.

The structure belongs to space group P-31c (No. 163); the cell edges are 5.5421, 5.5421 and 10.2007 Å and the angles 90.00°, 90.00° and 120.00°. The distinct sites, in fractional coordinates, are Na at (0.0000, 0.0000, 0.0000), Np at (0.3333, 0.6667, 0.2500), Nb at (0.3333, 0.6667, 0.7500) and O at (0.0065, 0.3773, 0.6447).

As for the raw formation energy: -2.534 eV per atom. The calculation puts the total magnetic moment at 2.00 μB per cell. The calculation puts the volume at 15.07 A^3/atom.